Density functional theory data (PBEsol) for a relaxed structure of AlPtBr4.

Summary:
* M_tot: 0.0 μB per formula unit
* ΔE_f (raw): 1.048 eV per atom

The structure in CIF format:
```
data_AlPtBr4
_cell_length_a 5.947
_cell_length_b 5.947
_cell_length_c 5.947
_cell_angle_alpha 60.00
_cell_angle_beta 60.00
_cell_angle_gamma 60.00
_symmetry_space_group_name_H-M 'P 1'
_symmetry_Int_Tables_number 1
_symmetry_space_group_name_Hall 'P 1'
loop_
_atom_site_label
_atom_site_fract_x
_atom_site_fract_y
_atom_site_fract_z
Al1 0.000 0.000 0.000
Pt1 0.750 0.750 0.750
Br1 0.376 0.376 0.376
Br2 0.376 0.376 0.872
Br3 0.376 0.872 0.376
Br4 0.872 0.376 0.376
```